Density functional theory data (PBE-GGA) for a geometry-optimized HfIr2Os structure.

Output
E_form: 0.14 eV per atom
DOS at the Fermi energy: 0.7849 states/eV per atom
Crystal system: tetragonal
DFT total energy: -9.591 eV per atom

a b c (Å): 3.9233 3.9233 9.4615
angles (deg): 78.03 78.03 90.00
Last column: nearest neighbours and their distance in Å.
Fractional positions:
Ir: 0.3750 0.3550 0.7500  2 Os 2.62, 4 Ir 2.67-2.89, 2 Hf 2.68
Ir: 0.8750 0.8950 0.7500  2 Os 2.62, 4 Ir 2.67-2.89, 2 Hf 2.68
Ir: 0.6450 0.1250 0.2500  2 Os 2.62, 4 Ir 2.67-2.89, 2 Hf 2.68
Ir: 0.1050 0.6250 0.2500  2 Os 2.62, 4 Ir 2.67-2.89, 2 Hf 2.68
Hf: 0.2500 0.7500 0.5000  4 Ir 2.68, 4 Os 2.77
Hf: 0.5000 0.5000 0.0000  4 Ir 2.68, 4 Os 2.77
Os: 0.7500 0.2500 0.5000  4 Ir 2.62, 4 Hf 2.77
Os: 0.0000 0.0000 0.0000  4 Ir 2.62, 4 Hf 2.77